Pa3Ni8H | PBE | optimized geometry

Properties
* E: -0.251 Ha/atom

Lattice parameters (Å, degrees): 4.9099 4.9099 8.7052 73.62 73.62 60.00
Last column: nearest neighbours and their distance in Å.
Sites, in units of the cell vectors:
Ni1 0.8070 0.8070 0.5789  6 Ni 2.46-2.48
Ni2 0.0561 0.5565 0.3312  1 H 1.74
Ni3 0.5600 0.0556 0.8244  6 Ni 2.43-2.51, 1 Pa 2.70
Ni4 0.0556 0.5600 0.8244  6 Ni 2.43-2.51, 1 Pa 2.70
Ni5 0.3084 0.3084 0.0748  6 Ni 2.51-2.54
Ni6 0.0561 0.0561 0.3312  1 H 1.74
Ni7 0.5565 0.0561 0.3312  1 H 1.74
Ni8 0.5600 0.5600 0.8244  6 Ni 2.43-2.51, 1 Pa 2.70
Pa1 0.0060 0.0060 0.9819  9 Ni 2.78-2.94
Pa2 0.4846 0.4846 0.5461  6 Ni 2.70-2.85, 3 H 2.93
Pa3 0.6175 0.6175 0.1474  12 Ni 2.88-3.01, 3 Pa 3.15
H1 0.1820 0.1820 0.4541  3 Ni 1.74